Ta4SiTc | PBE | relaxed

Structure (POSCAR):
```
Ta4SiTc
1.0
0.000 3.764 3.764
3.764 0.000 3.764
3.764 3.764 0.000
Ta Si Tc
4 1 1
Cartesian
4.707 4.707 4.707 Ta
2.821 4.707 2.821 Ta
2.821 2.821 4.707 Ta
4.707 2.821 2.821 Ta
0.000 0.000 0.000 Si
1.882 1.882 1.882 Tc
```

Output
N(E_F)   0.3635 states/eV per atom
Symmetry   F-43m, No. 216
Uncorrected formation energy   465 meV/atom
Total DFT energy (no corrections)   -10.069 eV per atom
Crystal system   cubic